VASP calculation (PBE) on an optimized crystal structure of BaAc2Sm3Te6.

Lattice parameters (Å, degrees): 4.567 9.353 10.357 103.86 102.74 90.00
Atoms (fractional coordinates):
Ba 0.500 0.000 0.000
Ac 0.831 0.663 0.662
Ac 0.169 0.337 0.338
Sm 0.500 0.500 0.000
Sm 0.835 0.173 0.670
Sm 0.165 0.827 0.330
Te 0.326 0.927 0.653
Te 0.661 0.593 0.322
Te 0.674 0.073 0.347
Te 0.998 0.267 0.996
Te 0.002 0.733 0.004
Te 0.339 0.407 0.678

Computed properties:
Energy relative to the elements, uncorrected: -1472 meV per atom
Space group: C2/m

---

VASP calculation (PBE) on an optimized crystal structure of Na3Ce2MgS6.

Lattice parameters (Å, degrees): 6.938 6.938 7.032 99.45 99.45 120.01
Site moments in Bohr magnetons follow the coordinates.
Atoms (fractional coordinates):
Na 0.165 0.835 0.500  0.00
Na 0.835 0.165 0.500  0.00
Na 0.500 0.500 0.500  0.00
Ce 0.333 0.667 0.000  0.55
Ce 0.667 0.333 0.000  0.55
Mg 0.000 0.000 0.000  0.00
S 0.925 0.599 0.774  -0.01
S 0.750 0.750 0.225  -0.01
S 0.075 0.401 0.226  -0.01
S 0.599 0.925 0.774  -0.01
S 0.250 0.250 0.775  -0.01
S 0.401 0.075 0.226  -0.01

Computed properties:
Energy relative to the elements, uncorrected: -1601 meV per atom
Space group: C2/m

---

VASP calculation (PBE) on an optimized crystal structure of RbHoZnF6.

Lattice parameters (Å, degrees): 8.131 7.643 7.874 119.03 121.09 90.00
Atoms (fractional coordinates):
Rb 0.799 0.549 0.598
Rb 0.201 0.451 0.402
Ho 0.500 0.000 0.500
Ho 0.000 0.000 0.500
Zn 0.500 0.500 0.000
Zn 0.500 0.000 0.000
F 0.452 0.702 0.905
F 0.826 0.076 0.652
F 0.813 0.097 0.266
F 0.452 0.669 0.266
F 0.452 0.097 0.266
F 0.813 0.669 0.266
F 0.548 0.298 0.095
F 0.174 0.924 0.348
F 0.187 0.903 0.734
F 0.548 0.331 0.734
F 0.548 0.903 0.734
F 0.187 0.331 0.734

Computed properties:
Energy relative to the elements, uncorrected: -3221 meV per atom
Space group: Imma

---

VASP calculation (PBE) on an optimized crystal structure of CePmPrZr.

Lattice parameters (Å, degrees): 5.541 5.541 5.541 60.00 60.00 60.00
Site moments in Bohr magnetons follow the coordinates.
Atoms (fractional coordinates):
Pr 0.750 0.750 0.750  0.02
Zr 0.250 0.250 0.250  0.20
Ce 0.500 0.500 0.500  0.55
Pm 0.000 0.000 0.000  0.02

Computed properties:
Calculated formation energy: 0.283 eV per atom
Space group: F-43m

---

VASP calculation (PBE) on an optimized crystal structure of DyCu3Ni2.

Lattice parameters (Å, degrees): 5.531 5.531 7.173 67.32 67.32 60.00
Atoms (fractional coordinates):
Dy 0.776 0.776 0.671
Dy 0.224 0.224 0.329
Cu 0.251 0.719 0.312
Cu 0.719 0.251 0.312
Cu 0.719 0.719 0.312
Cu 0.281 0.749 0.688
Cu 0.749 0.281 0.688
Cu 0.281 0.281 0.688
Ni 0.000 0.000 0.000
Ni 0.000 0.500 0.000
Ni 0.500 0.500 0.000
Ni 0.500 0.000 0.000

Computed properties:
Calculated formation energy: 0.000 eV per atom
Space group: R-3m

---

VASP calculation (PBE) on an optimized crystal structure of TbNd3F.

Lattice parameters (Å, degrees): 5.183 5.183 5.183 90.00 90.00 90.00
Atoms (fractional coordinates):
Nd 0.000 0.500 0.000
Nd 0.000 0.000 0.500
Nd 0.500 0.000 0.000
Tb 0.500 0.500 0.500
F 0.000 0.000 0.000

Computed properties:
Energy relative to the elements, uncorrected: -977 meV per atom
Space group: Pm-3m

---

VASP calculation (PBE) on an optimized crystal structure of KHg2Pt.

Lattice parameters (Å, degrees): 5.198 3.175 6.963 76.84 90.00 90.00
Atoms (fractional coordinates):
Hg 0.000 0.844 0.940
Hg 0.500 0.210 0.204
K 0.000 0.560 0.506
Pt 0.500 0.886 0.850

Computed properties:
Polymorph energy (0 for the lowest one): 213.0 meV/atom
Calculated formation energy: 0.041 eV per atom
Space group: Amm2

---

VASP calculation (PBE) on an optimized crystal structure of Ba2NbTl3O6.

Lattice parameters (Å, degrees): 6.575 6.575 6.546 98.55 98.55 120.25
Atoms (fractional coordinates):
Ba 0.330 0.670 0.000
Ba 0.670 0.330 0.000
Nb 0.000 0.000 0.000
Tl 0.153 0.847 0.500
Tl 0.847 0.153 0.500
Tl 0.500 0.500 0.500
O 0.936 0.682 0.826
O 0.808 0.808 0.211
O 0.064 0.318 0.174
O 0.682 0.936 0.826
O 0.192 0.192 0.789
O 0.318 0.064 0.174

Computed properties:
Energy relative to the elements, uncorrected: -1865 meV per atom
Space group: C2/m

---

Repeat the eighth record exactly.
VASP calculation (PBE) on an optimized crystal structure of Ba2NbTl3O6.

Lattice parameters (Å, degrees): 6.575 6.575 6.546 98.55 98.55 120.25
Atoms (fractional coordinates):
Ba 0.330 0.670 0.000
Ba 0.670 0.330 0.000
Nb 0.000 0.000 0.000
Tl 0.153 0.847 0.500
Tl 0.847 0.153 0.500
Tl 0.500 0.500 0.500
O 0.936 0.682 0.826
O 0.808 0.808 0.211
O 0.064 0.318 0.174
O 0.682 0.936 0.826
O 0.192 0.192 0.789
O 0.318 0.064 0.174

Computed properties:
Energy relative to the elements, uncorrected: -1865 meV per atom
Space group: C2/m

---

Please write out number 8 again, unchanged.
VASP calculation (PBE) on an optimized crystal structure of Ba2NbTl3O6.

Lattice parameters (Å, degrees): 6.575 6.575 6.546 98.55 98.55 120.25
Atoms (fractional coordinates):
Ba 0.330 0.670 0.000
Ba 0.670 0.330 0.000
Nb 0.000 0.000 0.000
Tl 0.153 0.847 0.500
Tl 0.847 0.153 0.500
Tl 0.500 0.500 0.500
O 0.936 0.682 0.826
O 0.808 0.808 0.211
O 0.064 0.318 0.174
O 0.682 0.936 0.826
O 0.192 0.192 0.789
O 0.318 0.064 0.174

Computed properties:
Energy relative to the elements, uncorrected: -1865 meV per atom
Space group: C2/m

---

Please write out number 6 again, unchanged.
VASP calculation (PBE) on an optimized crystal structure of TbNd3F.

Lattice parameters (Å, degrees): 5.183 5.183 5.183 90.00 90.00 90.00
Atoms (fractional coordinates):
Nd 0.000 0.500 0.000
Nd 0.000 0.000 0.500
Nd 0.500 0.000 0.000
Tb 0.500 0.500 0.500
F 0.000 0.000 0.000

Computed properties:
Energy relative to the elements, uncorrected: -977 meV per atom
Space group: Pm-3m